A plane-wave DFT calculation with PBE was carried out for a geometry-optimized CuOsPt structure.

Cell: 2.6998 3.8733 8.0804 Å, 90.00 90.00 90.00°
Element x y z (fractional)
1 Cu 0.0000 0.0000 0.0000
2 Cu 0.5000 0.5000 0.5000
3 Os 0.0000 0.0000 0.6616
4 Os 0.5000 0.5000 0.1616
5 Pt 0.0000 0.0000 0.3302
6 Pt 0.5000 0.5000 0.8302

Results
- spin magnetization (μB per formula unit) = 0.000
- crystal system = orthorhombic
- calculated formation energy (eV/atom) = 0.246
- E above lowest polymorph (meV/atom) = 92

---

A plane-wave DFT calculation with PBE was carried out for a geometry-optimized HoTl2ClO4 structure.

Cell: 3.9914 3.9914 8.7475 Å, 90.00 90.00 90.00°
Element x y z (fractional)
1 Ho 0.0000 0.0000 0.0000
2 Tl 0.5000 0.5000 0.2634
3 Tl 0.5000 0.5000 0.7366
4 Cl 0.0000 0.0000 0.5000
5 O 0.0000 0.5000 0.1534
6 O 0.0000 0.5000 0.8466
7 O 0.5000 0.0000 0.1534
8 O 0.5000 0.0000 0.8466

Results
- spin magnetization (μB per formula unit) = 0.000
- formation energy without anion corrections (eV/atom) = -1.38
- crystal system = tetragonal

---

A plane-wave DFT calculation with PBE was carried out for a geometry-optimized Ce2Tm2Th5 structure.

Cell: 6.0894 6.0894 9.0169 Å, 100.07 100.07 58.02°
Element x y z (fractional)
1 Ce 0.1671 0.1671 0.0005
2 Ce 0.8329 0.8329 0.9995
3 Tm 0.2763 0.2763 0.6635
4 Tm 0.7237 0.7237 0.3365
5 Th 0.0554 0.0554 0.3229
6 Th 0.3829 0.3829 0.3308
7 Th 0.5000 0.5000 0.0000
8 Th 0.6171 0.6171 0.6692
9 Th 0.9446 0.9446 0.6771

Results
- spin magnetization (μB per formula unit) = 0.331
- crystal system = monoclinic
- calculated formation energy (eV/atom) = 0.136

---

A plane-wave DFT calculation with PBE was carried out for a geometry-optimized La2MgPa structure.

Cell: 3.4066 3.4066 10.2118 Å, 90.00 90.00 90.00°
Element x y z (fractional)
1 La 0.0000 0.0000 0.2402
2 La 0.0000 0.0000 0.7598
3 Mg 0.5000 0.5000 0.5000
4 Pa 0.5000 0.5000 0.0000

Results
- spin magnetization (μB per formula unit) = 0.000
- crystal system = tetragonal
- calculated formation energy (eV/atom) = 0.067
- E above lowest polymorph (meV/atom) = 0

---

A plane-wave DFT calculation with PBE was carried out for a geometry-optimized BeMo3I structure.

Cell: 4.8413 4.8413 4.8413 Å, 90.00 90.00 90.00°
Element x y z (fractional)
1 Be 0.0000 0.0000 0.0000
2 Mo 0.0000 0.5000 0.5000
3 Mo 0.5000 0.0000 0.5000
4 Mo 0.5000 0.5000 0.0000
5 I 0.5000 0.5000 0.5000

Results
- spin magnetization (μB per formula unit) = 0.000
- formation energy without anion corrections (eV/atom) = 2.40
- crystal system = cubic
- E above lowest polymorph (meV/atom) = 1162

---

A plane-wave DFT calculation with PBE was carried out for a geometry-optimized LaH2Pt2 structure.

Cell: 3.9177 3.9177 9.0310 Å, 90.00 90.00 90.00°
Element x y z (fractional)
1 La 0.0000 0.0000 0.0000
2 La 0.5000 0.5000 0.5000
3 H 0.0000 0.5000 0.2500
4 H 0.0000 0.5000 0.7500
5 H 0.5000 0.0000 0.2500
6 H 0.5000 0.0000 0.7500
7 Pt 0.0000 0.0000 0.3346
8 Pt 0.0000 0.0000 0.6654
9 Pt 0.5000 0.5000 0.1654
10 Pt 0.5000 0.5000 0.8346

Results
- spin magnetization (μB per formula unit) = 0.000
- crystal system = tetragonal
- E above lowest polymorph (meV/atom) = 48

---

A plane-wave DFT calculation with PBE was carried out for a geometry-optimized Ce2Er5Ge4 structure.

Cell: 12.8062 12.8062 6.9042 Å, 92.94 92.94 15.40°
Element x y z (fractional)
1 Ce 0.0957 0.0957 0.2059
2 Ce 0.9043 0.9043 0.7941
3 Er 0.1310 0.1310 0.6951
4 Er 0.2383 0.2383 0.2644
5 Er 0.5000 0.5000 0.5000
6 Er 0.7617 0.7617 0.7356
7 Er 0.8690 0.8690 0.3049
8 Ge 0.0245 0.0245 0.8421
9 Ge 0.3241 0.3241 0.0000
10 Ge 0.6759 0.6759 0.0000
11 Ge 0.9755 0.9755 0.1579

Results
- spin magnetization (μB per formula unit) = 2.279
- crystal system = monoclinic
- calculated formation energy (eV/atom) = -0.294

---

In states/eV per cell, the DOS(E_F) values for the records above are, in order, 5.69 2.82 17.64 4.54 4.25 1.90 19.42.
In eV/cell, the VASP energy values for the records above are, in order, -41.3 -42.0 -56.7 -20.7 -25.8 -52.2 -56.4.
In g cm⁻³, the density values for the records above are, in order, 17.64 8.02 10.63 7.47 6.20 12.72 7.78.